Compound: BeVFeTc
Source: Alexandria via LeMat-Bulk
Functional: GGA-PBE
Structure: relaxed

Lattice parameters (Å, degrees): 4.0538 4.0538 4.0538 60.00 60.00 60.00
Last column: magnetic moment on the atom in μB.
Element x y z (fractional)
Be 0.5000 0.5000 0.5000  -0.02
V 0.0000 0.0000 0.0000  -0.38
Tc 0.7500 0.7500 0.7500  0.45
Fe 0.2500 0.2500 0.2500  1.40

Results
SG ... No. 216



Compound: Tl2Cu2Ge
Source: Alexandria via LeMat-Bulk
Functional: GGA-PBE
Structure: relaxed

Lattice parameters (Å, degrees): 6.7675 6.7675 4.4047 90.00 90.00 90.00
Element x y z (fractional)
Tl 0.1704 0.6704 0.5000
Tl 0.6704 0.8296 0.5000
Tl 0.8296 0.3296 0.5000
Tl 0.3296 0.1704 0.5000
Ge 0.0000 0.0000 0.0000
Ge 0.5000 0.5000 0.0000
Cu 0.3638 0.8638 0.0000
Cu 0.8638 0.6362 0.0000
Cu 0.6362 0.1362 0.0000
Cu 0.1362 0.3638 0.0000

Results
SG ... No. 127
Energy relative to the lowest polymorph listed for this composition ... 0.0 meV per atom



Let's list N(E_F) in order: 0.965; 0.307 states/eV per atom.
Let's list ΔE_f in order: -3.0; 6.0 kcal/mol of atoms.